(1)
ThSc2Tc | GGA-PBE | optimized geometry Values from VASP.

Computed properties:
As for the crystal system: tetragonal. Its excess energy over the best structure of this formula in the dataset is 0.44 eV per formula unit. Its space group is No. 123. Its energy relative to the elements is -0.0732 eV per atom.

The structure in Quantum ESPRESSO input format:
```
&SYSTEM
  ibrav = 0, nat = 4, ntyp = 3
/
ATOMIC_SPECIES
Th 232.04 Th.upf
Sc 44.96 Sc.upf
Tc 98.00 Tc.upf
ATOMIC_POSITIONS crystal
Th 0.0000 0.0000 0.0000
Sc 0.5000 0.5000 0.3181
Sc 0.5000 0.5000 0.6819
Tc 0.0000 0.0000 0.5000
CELL_PARAMETERS angstrom
3.3073 0.0000 0.0000
0.0000 3.3073 0.0000
0.0000 0.0000 8.4211
```


(2)
ReTe2Br | GGA-PBE | optimized geometry Values from VASP.

Computed properties:
As for the crystal system: tetragonal. As for the formation energy (no corrections): 1.313 eV per atom. Its excess energy over the best structure of this formula in the dataset is 5.41 eV per formula unit. Its space group is No. 123.

The structure in Quantum ESPRESSO input format:
```
&SYSTEM
  ibrav = 0, nat = 4, ntyp = 3
/
ATOMIC_SPECIES
Re 186.21 Re.upf
Te 127.60 Te.upf
Br 79.90 Br.upf
ATOMIC_POSITIONS crystal
Re 0.0000 0.0000 0.0000
Te 0.0000 0.5000 0.5000
Te 0.5000 0.0000 0.5000
Br 0.5000 0.5000 0.0000
CELL_PARAMETERS angstrom
4.2663 0.0000 0.0000
0.0000 4.2663 0.0000
0.0000 0.0000 5.0107
```


(3)
Ac3PtPb2 | GGA-PBE | optimized geometry Values from VASP.

Computed properties:
As for the crystal system: orthorhombic. Its excess energy over the best structure of this formula in the dataset is 0.00 eV per formula unit. Its space group is No. 62. Its energy relative to the elements is -0.7059 eV per atom.

The structure in Quantum ESPRESSO input format:
```
&SYSTEM
  ibrav = 0, nat = 24, ntyp = 3
/
ATOMIC_SPECIES
Ac 227.00 Ac.upf
Pt 195.08 Pt.upf
Pb 207.20 Pb.upf
ATOMIC_POSITIONS crystal
Ac 0.0569 0.2500 0.1293
Ac 0.1152 0.7500 0.5470
Ac 0.2369 0.2500 0.8012
Ac 0.2631 0.7500 0.3012
Ac 0.3848 0.2500 0.0470
Ac 0.4431 0.7500 0.6293
Ac 0.5569 0.2500 0.3707
Ac 0.6152 0.7500 0.9530
Ac 0.7369 0.2500 0.6988
Ac 0.7631 0.7500 0.1988
Ac 0.8848 0.2500 0.4530
Ac 0.9431 0.7500 0.8707
Pt 0.1215 0.2500 0.3693
Pt 0.3785 0.7500 0.8693
Pt 0.6215 0.2500 0.1307
Pt 0.8785 0.7500 0.6307
Pb 0.0014 0.7500 0.3036
Pb 0.1921 0.7500 0.0000
Pb 0.3079 0.2500 0.5000
Pb 0.4986 0.2500 0.8036
Pb 0.5014 0.7500 0.1964
Pb 0.6921 0.7500 0.5000
Pb 0.8079 0.2500 0.0000
Pb 0.9986 0.2500 0.6964
CELL_PARAMETERS angstrom
13.3398 0.0000 0.0000
0.0000 4.8438 0.0000
0.0000 0.0000 12.9085
```


(4)
AcTm2Sn | GGA-PBE | optimized geometry Values from VASP.

Computed properties:
As for the crystal system: tetragonal. Its excess energy over the best structure of this formula in the dataset is 0.00 eV per formula unit. Its space group is No. 123. Its energy relative to the elements is -0.3021 eV per atom.

The structure in Quantum ESPRESSO input format:
```
&SYSTEM
  ibrav = 0, nat = 4, ntyp = 3
/
ATOMIC_SPECIES
Ac 227.00 Ac.upf
Tm 168.93 Tm.upf
Sn 118.71 Sn.upf
ATOMIC_POSITIONS crystal
Ac 0.0000 0.0000 0.0000
Tm 0.0000 0.5000 0.5000
Tm 0.5000 0.0000 0.5000
Sn 0.5000 0.5000 0.0000
CELL_PARAMETERS angstrom
4.9941 0.0000 0.0000
0.0000 4.9941 0.0000
0.0000 0.0000 4.8972
```


(5)
GeTeW | GGA-PBE | optimized geometry Values from VASP.

Computed properties:
As for the crystal system: triclinic. As for the formation energy (no corrections): 0.205 eV per atom. Its excess energy over the best structure of this formula in the dataset is 0.00 eV per formula unit. Its space group is No. 2.

The structure in Quantum ESPRESSO input format:
```
&SYSTEM
  ibrav = 0, nat = 6, ntyp = 3
/
ATOMIC_SPECIES
Ge 72.64 Ge.upf
Te 127.60 Te.upf
W 183.84 W.upf
ATOMIC_POSITIONS crystal
Ge 0.0927 0.0560 0.1851
Ge 0.9073 0.9440 0.8149
Te 0.3633 0.4277 0.7274
Te 0.6367 0.5723 0.2726
W 0.2651 0.8209 0.5297
W 0.7349 0.1791 0.4703
CELL_PARAMETERS angstrom
3.2381 0.0000 0.0000
-0.0015 6.4201 0.0000
-1.6151 -0.1538 6.4435
```


(6)
LuZn12 | GGA-PBE | optimized geometry Values from VASP.

Computed properties:
As for the crystal system: tetragonal. Its space group is No. 139. Its energy relative to the elements is -0.1428 eV per atom.

The structure in Quantum ESPRESSO input format:
```
&SYSTEM
  ibrav = 0, nat = 13, ntyp = 2
/
ATOMIC_SPECIES
Lu 174.97 Lu.upf
Zn 65.41 Zn.upf
ATOMIC_POSITIONS crystal
Lu 0.0000 0.0000 0.0000
Zn 0.0000 0.0000 0.5000
Zn 0.0000 0.3518 0.3518
Zn 0.0000 0.5000 0.0000
Zn 0.0000 0.6482 0.6482
Zn 0.2835 0.5000 0.7835
Zn 0.3518 0.0000 0.3518
Zn 0.5000 0.0000 0.0000
Zn 0.5000 0.2835 0.7835
Zn 0.5000 0.5000 0.5000
Zn 0.5000 0.7165 0.2165
Zn 0.6482 0.0000 0.6482
Zn 0.7165 0.5000 0.2165
CELL_PARAMETERS angstrom
-4.3871 4.3871 2.6368
4.3871 -4.3871 2.6368
4.3871 4.3871 -2.6368
```


(7)
LiGa3Ag5 | GGA-PBE | optimized geometry Values from VASP.

Computed properties:
As for the crystal system: hexagonal. Its excess energy over the best structure of this formula in the dataset is 0.00 eV per formula unit. Its space group is No. 193. Its energy relative to the elements is -0.0603 eV per atom.

The structure in Quantum ESPRESSO input format:
```
&SYSTEM
  ibrav = 0, nat = 18, ntyp = 3
/
ATOMIC_SPECIES
Li 6.94 Li.upf
Ga 69.72 Ga.upf
Ag 107.87 Ag.upf
ATOMIC_POSITIONS crystal
Li 0.0000 0.0000 0.0000
Li 0.0000 0.0000 0.5000
Ga 0.0000 0.3273 0.2500
Ga 0.0000 0.6727 0.7500
Ga 0.3273 0.0000 0.2500
Ga 0.3273 0.3273 0.7500
Ga 0.6727 0.0000 0.7500
Ga 0.6727 0.6727 0.2500
Ag 0.0000 0.3344 0.7500
Ag 0.0000 0.6656 0.2500
Ag 0.3333 0.6667 0.0000
Ag 0.3333 0.6667 0.5000
Ag 0.3344 0.0000 0.7500
Ag 0.3344 0.3344 0.2500
Ag 0.6656 0.0000 0.2500
Ag 0.6656 0.6656 0.7500
Ag 0.6667 0.3333 0.0000
Ag 0.6667 0.3333 0.5000
CELL_PARAMETERS angstrom
7.9780 0.0000 0.0000
-3.9890 6.9091 0.0000
0.0000 0.0000 5.6731
```


(8)
NaCaCd2Pb | GGA-PBE | optimized geometry Values from VASP.

Computed properties:
As for the crystal system: tetragonal. Its space group is No. 123. Its energy relative to the elements is 0.2006 eV per atom.

The structure in Quantum ESPRESSO input format:
```
&SYSTEM
  ibrav = 0, nat = 5, ntyp = 4
/
ATOMIC_SPECIES
Na 22.99 Na.upf
Ca 40.08 Ca.upf
Cd 112.41 Cd.upf
Pb 207.20 Pb.upf
ATOMIC_POSITIONS crystal
Na 0.0000 0.0000 0.0000
Ca 0.5000 0.5000 0.5000
Cd 0.0000 0.5000 0.0000
Cd 0.5000 0.0000 0.0000
Pb 0.0000 0.0000 0.5000
CELL_PARAMETERS angstrom
5.3118 0.0000 0.0000
0.0000 5.3118 0.0000
0.0000 0.0000 5.6106
```


(9)
NaMg2Tl | GGA-PBE | optimized geometry Values from VASP.

Computed properties:
As for the crystal system: trigonal. Its space group is No. 166. Its energy relative to the elements is 0.1065 eV per atom.

The structure in Quantum ESPRESSO input format:
```
&SYSTEM
  ibrav = 0, nat = 4, ntyp = 3
/
ATOMIC_SPECIES
Na 22.99 Na.upf
Mg 24.30 Mg.upf
Tl 204.38 Tl.upf
ATOMIC_POSITIONS crystal
Na 0.0000 0.0000 0.0000
Mg 0.0926 0.0926 0.0926
Mg 0.9074 0.9074 0.9074
Tl 0.5000 0.5000 0.5000
CELL_PARAMETERS angstrom
1.6678 0.9629 11.5541
-1.6678 0.9629 11.5541
0.0000 -1.9258 11.5541
```


(10)
Ce4MgN5 | GGA-PBE | optimized geometry Values from VASP.

Computed properties:
As for the crystal system: tetragonal. As for the formation energy (no corrections): -1.332 eV per atom. Its space group is No. 139.

The structure in Quantum ESPRESSO input format:
```
&SYSTEM
  ibrav = 0, nat = 10, ntyp = 3
/
ATOMIC_SPECIES
Ce 140.12 Ce.upf
Mg 24.30 Mg.upf
N 14.01 N.upf
ATOMIC_POSITIONS crystal
Ce 0.0923 0.0923 0.0000
Ce 0.3021 0.3021 0.0000
Ce 0.6979 0.6979 0.0000
Ce 0.9077 0.9077 0.0000
Mg 0.5000 0.5000 0.0000
N 0.0000 0.0000 0.0000
N 0.1976 0.1976 0.0000
N 0.4056 0.4056 0.0000
N 0.5944 0.5944 0.0000
N 0.8024 0.8024 0.0000
CELL_PARAMETERS angstrom
-1.7716 1.7716 12.1459
1.7716 -1.7716 12.1459
1.7716 1.7716 -12.1459
```


(11)
ScTc2Sb | GGA-PBE | optimized geometry Values from VASP.

Computed properties:
As for the crystal system: monoclinic. As for the formation energy (no corrections): -0.095 eV per atom. Its space group is No. 6.

The structure in Quantum ESPRESSO input format:
```
&SYSTEM
  ibrav = 0, nat = 4, ntyp = 3
/
ATOMIC_SPECIES
Sc 44.96 Sc.upf
Tc 98.00 Tc.upf
Sb 121.76 Sb.upf
ATOMIC_POSITIONS crystal
Sc 0.0000 0.0000 0.0000
Tc 0.4551 0.0000 0.4689
Tc 0.7463 0.5000 0.2968
Sb 0.4119 0.5000 0.7559
CELL_PARAMETERS angstrom
3.1137 0.0000 0.0000
0.0000 4.5038 0.0000
-1.3792 0.0000 5.0734
```


(12)
La3PmPr2 | GGA-PBE | optimized geometry Values from VASP.

Computed properties:
As for the crystal system: trigonal. Its excess energy over the best structure of this formula in the dataset is 0.00 eV per formula unit. Its space group is No. 164. Its energy relative to the elements is 0.0096 eV per atom.

The structure in Quantum ESPRESSO input format:
```
&SYSTEM
  ibrav = 0, nat = 12, ntyp = 3
/
ATOMIC_SPECIES
La 138.91 La.upf
Pm 145.00 Pm.upf
Pr 140.91 Pr.upf
ATOMIC_POSITIONS crystal
La 0.1664 0.3327 0.1659
La 0.1664 0.8336 0.1659
La 0.3327 0.1664 0.8341
La 0.6673 0.8336 0.1659
La 0.8336 0.1664 0.8341
La 0.8336 0.6673 0.8341
Pm 0.3333 0.6667 0.8326
Pm 0.6667 0.3333 0.1674
Pr 0.0000 0.0000 0.5000
Pr 0.0000 0.5000 0.5000
Pr 0.5000 0.0000 0.5000
Pr 0.5000 0.5000 0.5000
CELL_PARAMETERS angstrom
7.4216 0.0000 0.0000
-3.7108 6.4273 0.0000
0.0000 0.0000 9.1089
```


The records above give, respectively, density values of 7.6, 9.5, 10.3, 9.3, 9.5, 7.9, 8.0, 5.2, 4.1, 7.1, 8.5, 6.4 g cm⁻³.